First-principles (PBE) data for an optimized crystal structure of CsHoCdCl6, as listed in the Alexandria database.

Cell: 6.9751 6.9751 7.7317 Å, 90.00 90.00 120.00°
Space group P312 (No. 149)
Unique sites:
Cs (0.0000, 0.0000, 0.0000)
Ho (0.6667, 0.3333, 0.5000)
Cd (0.3333, 0.6667, 0.5000)
Cl (0.3828, 0.0029, 0.6981)

Results
- raw formation energy (eV/atom) = -1.865